Density functional theory data (PBE) for a relaxed UInRu crystal.

```
3
Lattice="-1.584 1.584 6.049 1.584 -1.584 6.049 1.584 1.584 -6.049" Properties=species:S:1:pos:R:3 pbc="T T T"
U 0.000 0.000 0.000
In 0.000 0.000 8.578
Ru 0.000 0.000 4.382
```

Values from the calculation:
As for the crystal system: tetragonal. Its formation energy is -10 kJ/mol of atoms. The value obtained for the density of states at the Fermi level is 1.2427 states/eV/atom. As for the uncorrected energy: -23.60 eV/cell. The symmetry is I4mm, No. 107.

---

Density functional theory data (PBE) for a relaxed InPb2Au crystal.

```
4
Lattice="4.710 0.000 0.000 0.000 3.936 0.000 -2.181 0.000 5.964" Properties=species:S:1:pos:R:3 pbc="T T T"
In 0.000 0.000 0.000
Pb 0.163 1.968 4.976
Pb 2.453 0.000 2.673
Au 0.101 1.968 2.035
```

Values from the calculation:
As for the crystal system: monoclinic. Its formation energy is -4 kJ/mol of atoms. The value obtained for the density of states at the Fermi level is 0.4565 states/eV/atom. As for the uncorrected energy: -13.60 eV/cell. The symmetry is Pm, No. 6.

---

Density functional theory data (PBE) for a relaxed Al2MoRh3 crystal.

```
6
Lattice="2.887 0.000 0.000 0.000 2.887 0.000 0.000 0.000 10.056" Properties=species:S:1:pos:R:3 pbc="T T T"
Al 0.000 0.000 1.578
Al 0.000 0.000 8.479
Mo 0.000 0.000 5.028
Rh 1.443 1.443 0.000
Rh 1.443 1.443 3.146
Rh 1.443 1.443 6.910
```

Values from the calculation:
As for the crystal system: tetragonal. Its formation energy is -74 kJ/mol of atoms. The value obtained for the density of states at the Fermi level is 0.6432 states/eV/atom. As for the uncorrected energy: -44.94 eV/cell. The symmetry is P4/mmm, No. 123.

---

Density functional theory data (PBE) for a relaxed Tl4Ag crystal.

```
5
Lattice="5.540 0.000 0.000 0.000 5.540 0.000 0.000 0.000 5.540" Properties=species:S:1:pos:R:3 pbc="T T T"
Tl 0.000 0.000 0.000
Tl 0.000 2.770 2.770
Tl 2.770 0.000 2.770
Tl 2.770 2.770 0.000
Ag 2.770 2.770 2.770
```

Values from the calculation:
For the polymorph energy (0 for the lowest one), the calculation gives 0 meV/atom. As for the crystal system: cubic. Its formation energy is 20 kJ/mol of atoms. The value obtained for the density of states at the Fermi level is 0.3202 states/eV/atom. As for the uncorrected energy: -11.27 eV/cell. The symmetry is Pm-3m, No. 221.

---

Density functional theory data (PBE) for a relaxed LaSmIO6 crystal.

```
18
Lattice="5.774 0.000 0.000 -2.887 5.000 0.000 0.000 0.000 9.961" Properties=species:S:1:pos:R:3 pbc="T T T"
La 0.000 0.000 0.000
La 0.000 0.000 4.980
Sm 0.000 3.334 2.490
Sm 2.887 1.667 7.471
I 0.000 3.334 7.471
I 2.887 1.667 2.490
O -0.834 1.872 6.350
O -1.683 3.342 8.591
O 0.834 1.872 8.591
O -0.848 4.787 6.350
O 2.039 0.214 1.370
O 1.204 1.659 3.610
O 1.683 3.342 6.350
O 0.848 4.787 8.591
O 3.735 0.214 3.610
O 2.053 3.128 1.370
O 4.570 1.659 1.370
O 3.721 3.128 3.610
```

Values from the calculation:
As for the crystal system: trigonal. The value obtained for the uncorrected formation energy is -2013 meV/atom. The value obtained for the density of states at the Fermi level is 0.5366 states/eV/atom. As for the uncorrected energy: -118.13 eV/cell. The symmetry is P-31c, No. 163.

---

Density functional theory data (PBE) for a relaxed Sr2CaInSe crystal.

```
5
Lattice="5.916 0.000 0.000 0.000 5.916 0.000 0.000 0.000 5.505" Properties=species:S:1:pos:R:3 pbc="T T T"
Sr 0.000 2.958 0.000
Sr 2.958 0.000 0.000
Ca 0.000 0.000 2.753
In 2.958 2.958 2.753
Se 0.000 0.000 0.000
```

Values from the calculation:
As for the crystal system: tetragonal. The value obtained for the uncorrected formation energy is -799 meV/atom. The value obtained for the density of states at the Fermi level is 0.9673 states/eV/atom. As for the uncorrected energy: -15.58 eV/cell. The symmetry is P4/mmm, No. 123.

---

Density functional theory data (PBE) for a relaxed Ti6GaPb2 crystal.

```
9
Lattice="7.347 0.000 0.000 -3.674 6.363 0.000 0.000 0.000 3.655" Properties=species:S:1:pos:R:3 pbc="T T T"
Ti -1.395 2.416 0.000
Ti -2.791 4.835 1.827
Ti 0.882 1.528 1.827
Ti 2.789 0.000 0.000
Ti 2.279 3.947 0.000
Ti 5.582 0.000 1.827
Ga 0.000 0.000 0.000
Pb 0.000 4.242 1.827
Pb 3.674 2.121 1.827
```

Values from the calculation:
As for the crystal system: hexagonal. Its formation energy is -14 kJ/mol of atoms. The value obtained for the density of states at the Fermi level is 0.9791 states/eV/atom. As for the uncorrected energy: -59.13 eV/cell. The symmetry is P-62m, No. 189.

---

Density functional theory data (PBE) for a relaxed ZrTl2I6 crystal.

```
18
Lattice="7.972 0.000 0.000 0.000 8.688 0.000 -7.664 0.000 11.253" Properties=species:S:1:pos:R:3 pbc="T T T"
Zr 0.000 0.000 0.000
Zr -3.832 4.344 5.626
Tl -3.525 0.856 8.540
Tl 0.307 3.488 2.914
Tl 0.001 5.200 8.339
Tl 3.833 7.832 2.713
I -0.737 0.157 2.782
I -4.569 4.187 8.408
I 1.411 6.227 0.534
I -2.421 6.805 6.160
I 2.389 1.544 0.543
I -1.443 2.800 6.170
I 1.751 5.888 5.083
I -2.081 7.144 10.709
I 2.729 1.883 5.092
I -1.103 2.461 10.719
I 4.878 4.501 2.844
I 1.045 8.531 8.471
```

Values from the calculation:
For the polymorph energy (0 for the lowest one), the calculation gives 0 meV/atom. As for the crystal system: monoclinic. The value obtained for the uncorrected formation energy is -816 meV/atom. The value obtained for the density of states at the Fermi level is 0.0000 states/eV/atom. As for the uncorrected energy: -59.85 eV/cell. The symmetry is P2_1/c, No. 14.

---

Density functional theory data (PBE) for a relaxed Li2PmSm2Mg5 crystal.

```
20
Lattice="10.736 0.000 0.000 0.000 10.736 0.000 0.000 0.000 4.442" Properties=species:S:1:pos:R:3 pbc="T T T"
Li 1.221 4.147 0.000
Li 4.147 9.515 0.000
Li 6.589 1.221 0.000
Li 9.515 6.589 0.000
Pm 0.000 0.000 0.000
Pm 5.368 5.368 0.000
Sm 1.935 7.303 0.000
Sm 3.433 1.935 0.000
Sm 7.303 8.801 0.000
Sm 8.801 3.433 0.000
Mg 0.000 5.368 2.221
Mg 0.672 2.320 2.221
Mg 2.320 10.064 2.221
Mg 3.048 4.696 2.221
Mg 4.696 7.688 2.221
Mg 5.368 0.000 2.221
Mg 6.040 3.048 2.221
Mg 7.688 6.040 2.221
Mg 8.416 0.672 2.221
Mg 10.064 8.416 2.221
```

Values from the calculation:
As for the crystal system: tetragonal. Its formation energy is -4 kJ/mol of atoms. The value obtained for the density of states at the Fermi level is 1.0058 states/eV/atom. As for the uncorrected energy: -52.73 eV/cell. The symmetry is P4/mbm, No. 127.

---

Density functional theory data (PBE) for a relaxed Li5Pb6Au crystal.

```
12
Lattice="5.034 0.000 0.000 0.000 7.232 0.000 -2.508 0.000 7.594" Properties=species:S:1:pos:R:3 pbc="T T T"
Li 0.000 0.000 0.000
Li 0.007 3.616 5.060
Li 0.006 0.000 5.132
Li 2.520 0.000 2.462
Li 2.520 3.616 2.535
Pb 0.006 1.825 2.558
Pb 0.006 5.407 2.558
Pb 2.517 1.854 0.000
Pb 2.517 5.378 0.000
Pb 2.520 1.825 5.037
Pb 2.520 5.407 5.037
Au 0.000 3.616 0.000
```

Values from the calculation:
As for the crystal system: monoclinic. Its formation energy is -22 kJ/mol of atoms. The value obtained for the density of states at the Fermi level is 0.3170 states/eV/atom. As for the uncorrected energy: -37.83 eV/cell. The symmetry is P2/m, No. 10.

---

Density functional theory data (PBE) for a relaxed TaReIrI2 crystal.

```
5
Lattice="5.133 0.000 0.000 0.000 5.133 0.000 0.000 0.000 4.966" Properties=species:S:1:pos:R:3 pbc="T T T"
Ta 0.000 0.000 0.000
Re 0.000 0.000 2.483
Ir 2.567 2.567 0.000
I 0.000 2.567 2.483
I 2.567 0.000 2.483
```

Values from the calculation:
As for the crystal system: tetragonal. The value obtained for the uncorrected formation energy is 2102 meV/atom. The value obtained for the density of states at the Fermi level is 1.8822 states/eV/atom. As for the uncorrected energy: -25.75 eV/cell. The symmetry is P4/mmm, No. 123.

---

Density functional theory data (PBE) for a relaxed AcFeSi crystal.

```
6
Lattice="4.126 0.000 0.000 0.000 4.126 0.000 0.000 0.000 7.817" Properties=species:S:1:pos:R:3 pbc="T T T"
Ac 1.032 1.032 1.546
Ac 3.095 3.095 6.272
Fe 1.032 3.095 3.909
Fe 3.095 1.032 3.909
Si 1.032 1.032 4.979
Si 3.095 3.095 2.839
```

Values from the calculation:
For the polymorph energy (0 for the lowest one), the calculation gives 0 meV/atom. As for the crystal system: tetragonal. The value obtained for the uncorrected formation energy is -477 meV/atom. The value obtained for the density of states at the Fermi level is 0.9599 states/eV/atom. As for the uncorrected energy: -38.85 eV/cell. The symmetry is P4/nmm, No. 129.